A plane-wave DFT calculation with GGA-PBE was carried out for an optimized crystal structure of BeReB.

It has space group I4mm (No. 107), with a = 2.889 Å, b = 2.889 Å, c = 7.917 Å, α = 90.00°, β = 90.00° and γ = 90.00°. The inequivalent atoms are Be at (0.000, 0.000, 0.000), Re at (0.000, 0.000, 0.694) and B at (0.000, 0.000, 0.279).

The value obtained for the density of states at the Fermi level is 0.9 states/eV/cell. The total magnetization is 0.0 μB per formula unit. The value obtained for the final energy is -0.27438 hartree per atom.

=====

A plane-wave DFT calculation with GGA-PBE was carried out for an optimized crystal structure of TbTh3Si4.

It has space group Immm (No. 71), with a = 4.180 Å, b = 6.315 Å, c = 15.835 Å, α = 90.00°, β = 90.00° and γ = 90.00°. The inequivalent atoms are Tb at (0.000, 0.000, 0.000), Th at (0.000, 0.000, 0.500), Th at (0.000, 0.500, 0.306) and Si at (0.000, 0.310, 0.130).

The value obtained for the formation energy from raw total energies is -0.567 eV/atom. The value obtained for the density of states at the Fermi level is 11.7 states/eV/cell. The total magnetization is 0.0 μB per formula unit.

=====

A plane-wave DFT calculation with GGA-PBE was carried out for an optimized crystal structure of Y2Zn2Cu.

It has space group P4/mbm (No. 127), with a = 7.685 Å, b = 7.685 Å, c = 4.085 Å, α = 90.00°, β = 90.00° and γ = 90.00°. The inequivalent atoms are Y at (0.165, 0.335, 0.000), Zn at (0.129, 0.629, 0.500) and Cu at (0.000, 0.000, 0.000).

The value obtained for the density of states at the Fermi level is 8.6 states/eV/cell. The total magnetization is 0.0 μB per formula unit. The value obtained for the final energy is -0.14051 hartree per atom.

=====

A plane-wave DFT calculation with GGA-PBE was carried out for an optimized crystal structure of CuHgBiN2.

It has space group P4/mmm (No. 123), with a = 4.412 Å, b = 4.412 Å, c = 5.458 Å, α = 90.00°, β = 90.00° and γ = 90.00°. The inequivalent atoms are Cu at (0.000, 0.000, 0.000), Hg at (0.500, 0.500, 0.000), Bi at (0.000, 0.000, 0.500) and N at (0.000, 0.500, 0.500).

The value obtained for the formation energy from raw total energies is 1.681 eV/atom. The value obtained for the density of states at the Fermi level is 3.4 states/eV/cell. The total magnetization is 2.1 μB per formula unit.

=====

A plane-wave DFT calculation with GGA-PBE was carried out for an optimized crystal structure of CeInPd4.

It has space group C2/m (No. 12), with a = 9.701 Å, b = 3.608 Å, c = 6.907 Å, α = 90.00°, β = 114.03° and γ = 90.00°. The inequivalent atoms are Ce at (0.000, 0.000, 0.000), In at (0.000, 0.000, 0.500), Pd at (0.161, 0.500, 0.336) and Pd at (0.171, 0.500, 0.824).

The value obtained for the density of states at the Fermi level is 11.1 states/eV/cell. The total magnetization is 0.3 μB per formula unit. The value obtained for the final energy is -0.20197 hartree per atom.

=====

A plane-wave DFT calculation with GGA-PBE was carried out for an optimized crystal structure of La3PmRu.

It has space group Pmn2_1 (No. 31), with a = 7.882 Å, b = 6.725 Å, c = 6.521 Å, α = 90.00°, β = 90.00° and γ = 90.00°. The inequivalent atoms are La at (0.000, 0.156, 0.000), La at (0.249, 0.677, 0.996), Pm at (0.000, 0.837, 0.497) and Ru at (0.000, 0.491, 0.242).

The value obtained for the density of states at the Fermi level is 15.5 states/eV/cell. The total magnetization is 0.0 μB per formula unit. The value obtained for the final energy is -0.21612 hartree per atom.